Record 1
# HfCuBMo | OQMD | PBE-GGA | relaxed
data_HfCuBMo
_symmetry_space_group_name_H-M 'F -4 3 m'
_symmetry_Int_Tables_number 216
_symmetry_space_group_name_Hall 'F -4 2 3'
_cell_length_a 6.138
_cell_length_b 6.138
_cell_length_c 6.138
_cell_angle_alpha 90.00
_cell_angle_beta 90.00
_cell_angle_gamma 90.00
loop_
_atom_site_label
_atom_site_type_symbol
_atom_site_fract_x
_atom_site_fract_y
_atom_site_fract_z
Hf1 Hf 0.000 0.000 0.000
Cu1 Cu 0.000 0.000 0.500
B1 B 0.250 0.250 0.250
Mo1 Mo 0.250 0.250 0.750
# DFT total energy = -6.927 eV/atom

***

Record 2
# PrSnIr | OQMD | PBE-GGA | relaxed
data_PrSnIr
_symmetry_space_group_name_H-M 'P -6 2 m'
_symmetry_Int_Tables_number 189
_symmetry_space_group_name_Hall 'P -6 -2'
_cell_length_a 8.5104
_cell_length_b 8.5104
_cell_length_c 3.2693
_cell_angle_alpha 90.00
_cell_angle_beta 90.00
_cell_angle_gamma 120.00
loop_
_atom_site_label
_atom_site_type_symbol
_atom_site_fract_x
_atom_site_fract_y
_atom_site_fract_z
Pr1 Pr 0.0000 0.3035 0.0000
Sn1 Sn 0.0000 0.0000 0.5000
Sn2 Sn 0.3333 0.6667 0.0000
Ir1 Ir 0.0000 0.6432 0.5000
# DFT total energy = -5.921 eV/atom

***

Record 3
# Ta2BiB2 | OQMD | PBE-GGA | relaxed
data_Ta2BiB2
_symmetry_space_group_name_H-M 'C m m m'
_symmetry_Int_Tables_number 65
_symmetry_space_group_name_Hall '-C 2 2'
_cell_length_a 3.068
_cell_length_b 15.307
_cell_length_c 3.246
_cell_angle_alpha 90.00
_cell_angle_beta 90.00
_cell_angle_gamma 90.00
loop_
_atom_site_label
_atom_site_type_symbol
_atom_site_fract_x
_atom_site_fract_y
_atom_site_fract_z
Ta1 Ta 0.000 0.164 0.000
Bi1 Bi 0.000 0.500 0.500
B1 B 0.000 0.279 0.500
# DFT total energy = -8.381 eV/atom

***

Record 4
# HgPbSO | OQMD | PBE-GGA | relaxed
data_HgPbSO
_symmetry_space_group_name_H-M 'P 4/n m m'
_symmetry_Int_Tables_number 129
_cell_length_a 4.327
_cell_length_b 4.327
_cell_length_c 9.217
_cell_angle_alpha 90.00
_cell_angle_beta 90.00
_cell_angle_gamma 90.00
loop_
_symmetry_equiv_pos_as_xyz
'x,y,z'
'-x,-y,-z'
'-y+1/2,x,z'
'y+1/2,-x,-z'
'-x+1/2,-y+1/2,z'
'x+1/2,y+1/2,-z'
'y,-x+1/2,z'
'-y,x+1/2,-z'
'x+1/2,-y,-z'
'-x+1/2,y,z'
'-y,-x,-z'
'y,x,z'
'-x,y+1/2,-z'
'x,-y+1/2,z'
'y+1/2,x+1/2,-z'
'-y+1/2,-x+1/2,z'
loop_
_atom_site_label
_atom_site_type_symbol
_atom_site_fract_x
_atom_site_fract_y
_atom_site_fract_z
Hg1 Hg 0.250 0.250 0.086
Pb1 Pb 0.250 0.250 0.673
S1 S 0.250 0.250 0.374
O1 O 0.250 0.750 0.000
# DFT total energy = -3.552 eV/atom

***

Record 5
# TmBPO | OQMD | PBE-GGA | relaxed
data_TmBPO
_symmetry_space_group_name_H-M 'P m c 21'
_symmetry_Int_Tables_number 26
_symmetry_space_group_name_Hall 'P 2c -2'
_cell_length_a 3.706
_cell_length_b 5.375
_cell_length_c 5.776
_cell_angle_alpha 90.00
_cell_angle_beta 90.00
_cell_angle_gamma 90.00
loop_
_atom_site_label
_atom_site_type_symbol
_atom_site_fract_x
_atom_site_fract_y
_atom_site_fract_z
Tm1 Tm 0.000 0.219 0.000
B1 B 0.500 0.309 0.348
P1 P 0.500 0.379 0.677
O1 O 0.000 0.147 0.354
# DFT total energy = -6.361 eV/atom

***

Record 6
# SmYSn | OQMD | PBE-GGA | relaxed
data_SmYSn
_symmetry_space_group_name_H-M 'F -4 3 m'
_symmetry_Int_Tables_number 216
_symmetry_space_group_name_Hall 'F -4 2 3'
_cell_length_a 7.338
_cell_length_b 7.338
_cell_length_c 7.338
_cell_angle_alpha 90.00
_cell_angle_beta 90.00
_cell_angle_gamma 90.00
loop_
_atom_site_label
_atom_site_type_symbol
_atom_site_fract_x
_atom_site_fract_y
_atom_site_fract_z
Sm1 Sm 0.000 0.000 0.000
Y1 Y 0.000 0.000 0.500
Sn1 Sn 0.250 0.250 0.250
# DFT total energy = -5.498 eV/atom

***

Record 7
# Sm3Zn2Au4 | OQMD | PBE-GGA | relaxed
data_Sm3Zn2Au4
_symmetry_space_group_name_H-M 'C 1 2/m 1'
_symmetry_Int_Tables_number 12
_symmetry_space_group_name_Hall '-C 2y'
_cell_length_a 10.684
_cell_length_b 4.656
_cell_length_c 8.835
_cell_angle_alpha 90.00
_cell_angle_beta 115.24
_cell_angle_gamma 90.00
loop_
_atom_site_label
_atom_site_type_symbol
_atom_site_fract_x
_atom_site_fract_y
_atom_site_fract_z
Sm1 Sm 0.000 0.000 0.000
Sm2 Sm 0.150 0.500 0.683
Zn1 Zn 0.144 0.500 0.315
Au1 Au 0.078 0.000 0.400
Au2 Au 0.218 0.500 0.068
# E_form = -629 kJ/mol of formula units

***

Record 8
# NdP2Ir2 | OQMD | PBE-GGA | relaxed
data_NdP2Ir2
_symmetry_space_group_name_H-M 'P 4/n m m'
_symmetry_Int_Tables_number 129
_cell_length_a 4.175
_cell_length_b 4.175
_cell_length_c 9.639
_cell_angle_alpha 90.00
_cell_angle_beta 90.00
_cell_angle_gamma 90.00
loop_
_symmetry_equiv_pos_as_xyz
'x,y,z'
'-x,-y,-z'
'-y+1/2,x,z'
'y+1/2,-x,-z'
'-x+1/2,-y+1/2,z'
'x+1/2,y+1/2,-z'
'y,-x+1/2,z'
'-y,x+1/2,-z'
'x+1/2,-y,-z'
'-x+1/2,y,z'
'-y,-x,-z'
'y,x,z'
'-x,y+1/2,-z'
'x,-y+1/2,z'
'y+1/2,x+1/2,-z'
'-y+1/2,-x+1/2,z'
loop_
_atom_site_label
_atom_site_type_symbol
_atom_site_fract_x
_atom_site_fract_y
_atom_site_fract_z
Nd1 Nd 0.250 0.250 0.242
P1 P 0.250 0.250 0.640
P2 P 0.250 0.750 0.000
Ir1 Ir 0.250 0.250 0.887
Ir2 Ir 0.250 0.750 0.500
# DFT total energy = -7.659 eV/atom

***

Record 9
# ScCoC2 | OQMD | PBE-GGA | relaxed
data_ScCoC2
_symmetry_space_group_name_H-M 'P 4/n m m'
_symmetry_Int_Tables_number 129
_cell_length_a 3.360
_cell_length_b 3.360
_cell_length_c 7.178
_cell_angle_alpha 90.00
_cell_angle_beta 90.00
_cell_angle_gamma 90.00
loop_
_symmetry_equiv_pos_as_xyz
'x,y,z'
'-x,-y,-z'
'-y+1/2,x,z'
'y+1/2,-x,-z'
'-x+1/2,-y+1/2,z'
'x+1/2,y+1/2,-z'
'y,-x+1/2,z'
'-y,x+1/2,-z'
'x+1/2,-y,-z'
'-x+1/2,y,z'
'-y,-x,-z'
'y,x,z'
'-x,y+1/2,-z'
'x,-y+1/2,z'
'y+1/2,x+1/2,-z'
'-y+1/2,-x+1/2,z'
loop_
_atom_site_label
_atom_site_type_symbol
_atom_site_fract_x
_atom_site_fract_y
_atom_site_fract_z
Sc1 Sc 0.250 0.250 0.154
Co1 Co 0.250 0.750 0.500
C1 C 0.250 0.250 0.650
C2 C 0.250 0.250 0.847
# DFT total energy = -8.294 eV/atom

***

Record 10
# KCuCl3 | OQMD | PBE-GGA | relaxed
data_KCuCl3
_symmetry_space_group_name_H-M 'P 1 21/c 1'
_symmetry_Int_Tables_number 14
_symmetry_space_group_name_Hall '-P 2ybc'
_cell_length_a 4.256
_cell_length_b 14.270
_cell_length_c 9.596
_cell_angle_alpha 90.00
_cell_angle_beta 98.23
_cell_angle_gamma 90.00
loop_
_atom_site_label
_atom_site_type_symbol
_atom_site_fract_x
_atom_site_fract_y
_atom_site_fract_z
K1 K 0.235 0.154 0.475
Cu1 Cu 0.160 0.041 0.854
Cl1 Cl 0.013 0.599 0.446
Cl2 Cl 0.282 0.184 0.786
Cl3 Cl 0.309 0.530 0.166
# DFT total energy = -3.101 eV/atom

***

Record 11
# MoAsAu | OQMD | PBE-GGA | relaxed
data_MoAsAu
_symmetry_space_group_name_H-M 'F -4 3 m'
_symmetry_Int_Tables_number 216
_symmetry_space_group_name_Hall 'F -4 2 3'
_cell_length_a 6.323
_cell_length_b 6.323
_cell_length_c 6.323
_cell_angle_alpha 90.00
_cell_angle_beta 90.00
_cell_angle_gamma 90.00
loop_
_atom_site_label
_atom_site_type_symbol
_atom_site_fract_x
_atom_site_fract_y
_atom_site_fract_z
Mo1 Mo 0.000 0.000 0.000
As1 As 0.000 0.000 0.500
Au1 Au 0.250 0.250 0.750
# DFT total energy = -5.385 eV/atom

***

Record 12
# UFeW | OQMD | PBE-GGA | relaxed
data_UFeW
_symmetry_space_group_name_H-M 'F -4 3 m'
_symmetry_Int_Tables_number 216
_symmetry_space_group_name_Hall 'F -4 2 3'
_cell_length_a 6.060
_cell_length_b 6.060
_cell_length_c 6.060
_cell_angle_alpha 90.00
_cell_angle_beta 90.00
_cell_angle_gamma 90.00
loop_
_atom_site_label
_atom_site_type_symbol
_atom_site_fract_x
_atom_site_fract_y
_atom_site_fract_z
U1 U 0.000 0.000 0.000
Fe1 Fe 0.250 0.250 0.750
W1 W 0.250 0.250 0.250
# E_form = 323 kJ/mol of formula units

***

Record 13
# Ho3Al2 | OQMD | PBE-GGA | relaxed
data_Ho3Al2
_symmetry_space_group_name_H-M 'R -3 c'
_symmetry_Int_Tables_number 167
_symmetry_space_group_name_Hall '-R 3 2"c'
_cell_length_a 6.3330
_cell_length_b 6.3330
_cell_length_c 25.5263
_cell_angle_alpha 90.00
_cell_angle_beta 90.00
_cell_angle_gamma 120.00
loop_
_atom_site_label
_atom_site_type_symbol
_atom_site_fract_x
_atom_site_fract_y
_atom_site_fract_z
Ho1 Ho 0.0000 0.3281 0.2500
Al1 Al 0.0000 0.0000 0.1649
# DFT total energy = -4.192 eV/atom

***

Record 14
# CdH6C2O6 | OQMD | PBE-GGA | relaxed
data_CdH6C2O6
_symmetry_space_group_name_H-M 'P 1 21/c 1'
_symmetry_Int_Tables_number 14
_symmetry_space_group_name_Hall '-P 2ybc'
_cell_length_a 8.908
_cell_length_b 7.153
_cell_length_c 9.553
_cell_angle_alpha 90.00
_cell_angle_beta 97.55
_cell_angle_gamma 90.00
loop_
_atom_site_label
_atom_site_type_symbol
_atom_site_fract_x
_atom_site_fract_y
_atom_site_fract_z
Cd1 Cd 0.000 0.000 0.000
Cd2 Cd 0.500 0.000 0.500
H1 H 0.041 0.151 0.282
H2 H 0.177 0.041 0.623
H3 H 0.204 0.097 0.236
H4 H 0.263 0.624 0.445
H5 H 0.298 0.091 0.974
H6 H 0.442 0.738 0.739
C1 C 0.170 0.601 0.077
C2 C 0.457 0.190 0.208
O1 O 0.054 0.698 0.091
O2 O 0.101 0.143 0.200
O3 O 0.233 0.004 0.910
O4 O 0.279 0.659 0.013
O5 O 0.393 0.067 0.276
O6 O 0.408 0.234 0.082
# DFT total energy = -5.614 eV/atom

***

Record 15
# YGaCoRe | OQMD | PBE-GGA | relaxed
data_YGaCoRe
_symmetry_space_group_name_H-M 'F -4 3 m'
_symmetry_Int_Tables_number 216
_symmetry_space_group_name_Hall 'F -4 2 3'
_cell_length_a 6.387
_cell_length_b 6.387
_cell_length_c 6.387
_cell_angle_alpha 90.00
_cell_angle_beta 90.00
_cell_angle_gamma 90.00
loop_
_atom_site_label
_atom_site_type_symbol
_atom_site_fract_x
_atom_site_fract_y
_atom_site_fract_z
Y1 Y 0.000 0.000 0.000
Ga1 Ga 0.000 0.000 0.500
Co1 Co 0.250 0.250 0.750
Re1 Re 0.250 0.250 0.250
# DFT total energy = -6.958 eV/atom

***

Record 16
# CuAg4 | OQMD | PBE-GGA | relaxed
data_CuAg4
_symmetry_space_group_name_H-M 'P 1 2/m 1'
_symmetry_Int_Tables_number 10
_symmetry_space_group_name_Hall '-P 2y'
_cell_length_a 4.974
_cell_length_b 2.901
_cell_length_c 11.801
_cell_angle_alpha 90.00
_cell_angle_beta 97.43
_cell_angle_gamma 90.00
loop_
_atom_site_label
_atom_site_type_symbol
_atom_site_fract_x
_atom_site_fract_y
_atom_site_fract_z
Cu1 Cu 0.100 0.000 0.303
Ag1 Ag 0.000 0.500 0.500
Ag2 Ag 0.198 0.500 0.108
Ag3 Ag 0.297 0.000 0.900
Ag4 Ag 0.397 0.500 0.698
Ag5 Ag 0.500 0.000 0.500
# E_form = 30 kJ/mol of formula units

***

Record 17
# Pm4Sb3O4 | OQMD | PBE-GGA | relaxed
data_Pm4Sb3O4
_symmetry_space_group_name_H-M 'A m m 2'
_symmetry_Int_Tables_number 38
_symmetry_space_group_name_Hall 'A 2 -2'
_cell_length_a 8.451
_cell_length_b 3.989
_cell_length_c 14.175
_cell_angle_alpha 90.00
_cell_angle_beta 90.00
_cell_angle_gamma 90.00
loop_
_atom_site_label
_atom_site_type_symbol
_atom_site_fract_x
_atom_site_fract_y
_atom_site_fract_z
Pm1 Pm 0.000 0.000 0.000
Pm2 Pm 0.238 0.000 0.335
Pm3 Pm 0.500 0.000 0.981
Sb1 Sb 0.000 0.000 0.698
Sb2 Sb 0.323 0.000 0.643
O1 O 0.000 0.000 0.421
O2 O 0.244 0.000 0.917
O3 O 0.500 0.000 0.394
# DFT total energy = -7.031 eV/atom

***

Record 18
# CsTm2Se3 | OQMD | PBE-GGA | relaxed
data_CsTm2Se3
_symmetry_space_group_name_H-M 'C m c m'
_symmetry_Int_Tables_number 63
_symmetry_space_group_name_Hall '-C 2c 2'
_cell_length_a 4.394
_cell_length_b 16.440
_cell_length_c 11.139
_cell_angle_alpha 90.00
_cell_angle_beta 90.00
_cell_angle_gamma 90.00
loop_
_atom_site_label
_atom_site_type_symbol
_atom_site_fract_x
_atom_site_fract_y
_atom_site_fract_z
Cs1 Cs 0.000 0.238 0.250
Tm1 Tm 0.000 0.037 0.750
Tm2 Tm 0.000 0.500 0.000
Se1 Se 0.000 0.116 0.541
Se2 Se 0.000 0.442 0.750
# DFT total energy = -4.914 eV/atom

***

Record 19
# NdSmB4 | OQMD | PBE-GGA | relaxed
data_NdSmB4
_symmetry_space_group_name_H-M 'I m m m'
_symmetry_Int_Tables_number 71
_symmetry_space_group_name_Hall '-I 2 2'
_cell_length_a 3.332
_cell_length_b 5.770
_cell_length_c 8.149
_cell_angle_alpha 90.00
_cell_angle_beta 90.00
_cell_angle_gamma 90.00
loop_
_atom_site_label
_atom_site_type_symbol
_atom_site_fract_x
_atom_site_fract_y
_atom_site_fract_z
Nd1 Nd 0.000 0.000 0.000
Sm1 Sm 0.000 0.000 0.500
B1 B 0.000 0.334 0.249
# DFT total energy = -6.372 eV/atom

***

Record 20
# Ta3W | OQMD | PBE-GGA | relaxed
data_Ta3W
_symmetry_space_group_name_H-M 'I 4/m m m'
_symmetry_Int_Tables_number 139
_symmetry_space_group_name_Hall '-I 4 2'
_cell_length_a 3.885
_cell_length_b 3.885
_cell_length_c 9.519
_cell_angle_alpha 90.00
_cell_angle_beta 90.00
_cell_angle_gamma 90.00
loop_
_atom_site_label
_atom_site_type_symbol
_atom_site_fract_x
_atom_site_fract_y
_atom_site_fract_z
Ta1 Ta 0.000 0.000 0.000
Ta2 Ta 0.000 0.500 0.250
W1 W 0.000 0.000 0.500
# E_form = 71 kJ/mol of formula units